# 1
DFT (GGA-PBE) results for a relaxed NpAgSbH crystal.

extended XYZ file:
```
8
Lattice="4.2221 0.0000 0.0000 0.0000 4.2221 0.0000 0.0000 0.0000 8.2038" Properties=species:S:1:pos:R:3 pbc="T T T"
Np 1.0555 1.0555 0.9817
Np 3.1666 3.1666 7.2220
Ag 1.0555 3.1666 4.1019
Ag 3.1666 1.0555 4.1019
Sb 1.0555 1.0555 6.0272
Sb 3.1666 3.1666 2.1766
H 1.0555 3.1666 0.0000
H 3.1666 1.0555 0.0000
```

Summary:
Symmetry = No. 129
E = -6.045 eV/atom

---

# 2
DFT (GGA-PBE) results for a relaxed AgHO2 crystal.

extended XYZ file:
```
8
Lattice="4.2397 -3.6942 0.0000 4.2397 3.6942 0.0000 -1.7315 0.0000 3.5460" Properties=species:S:1:pos:R:3 pbc="T T T"
Ag 4.2397 1.8458 0.0000
Ag 4.2397 -1.8458 0.0000
H 1.1570 0.0000 1.4723
H 0.6741 0.0000 3.4273
O 0.9009 0.0000 0.4901
O 1.6056 0.0000 3.0246
O 5.7506 0.6488 1.5877
O 5.7506 -0.6488 1.5877
```

Summary:
Symmetry = No. 8
E = -4.414 eV/atom

---

# 3
DFT (GGA-PBE) results for a relaxed AgHO2 crystal.

extended XYZ file:
```
16
Lattice="6.1904 0.0000 0.0000 0.0000 4.1128 0.0000 0.0000 0.0000 7.1898" Properties=species:S:1:pos:R:3 pbc="T T T"
Ag 0.1098 1.0282 1.2855
Ag 2.9854 3.0846 4.8804
Ag 3.2050 1.0282 2.3094
Ag 6.0806 3.0846 5.9043
H 0.9572 1.0282 3.7884
H 2.1380 3.0846 0.1935
H 4.0524 1.0282 6.9963
H 5.2332 3.0846 3.4014
O 0.0372 1.0282 3.3992
O 0.2573 3.0846 0.7589
O 2.8379 1.0282 4.3538
O 3.0580 3.0846 6.9941
O 3.1324 1.0282 0.1957
O 3.3525 3.0846 2.8360
O 5.9331 1.0282 6.4310
O 6.1532 3.0846 3.7907
```

Summary:
Symmetry = No. 62
E = -4.183 eV/atom

---

# 4
DFT (GGA-PBE) results for a relaxed AgH8O5 crystal.

extended XYZ file:
```
56
Lattice="6.3571 0.0000 0.0000 0.0000 6.4565 0.0000 0.0000 0.0000 12.9571" Properties=species:S:1:pos:R:3 pbc="T T T"
Ag 0.2237 1.6005 12.9544
Ag 2.9549 4.8560 6.4758
Ag 3.4023 1.6277 0.0028
Ag 6.1335 4.8288 6.4813
H 0.4019 5.1791 2.4921
H 1.0714 2.8005 8.8011
H 1.2136 4.2430 9.3935
H 1.2176 0.8914 5.3053
H 1.2795 6.3024 3.2431
H 1.3105 2.4248 4.8394
H 1.3710 0.3212 7.5069
H 1.4052 4.4883 4.4004
H 1.7734 1.9682 10.8790
H 1.8076 6.1353 1.0283
H 1.8681 4.0317 11.3180
H 1.8991 0.1541 9.7216
H 1.9610 5.5651 11.7839
H 1.9649 2.2135 2.9149
H 2.1072 3.6560 2.3225
H 2.7767 1.2774 8.9707
H 3.5805 4.5056 10.4650
H 4.2500 0.4277 4.1561
H 4.3922 5.4418 3.5637
H 4.3961 2.3369 7.6518
H 4.4581 3.3824 9.7141
H 4.4891 0.8034 8.1177
H 4.5496 2.9070 5.4502
H 4.5837 5.1965 8.5568
H 4.9520 1.2600 2.0782
H 4.9862 3.5495 11.9288
H 5.0466 5.6531 1.6391
H 5.0776 3.0741 3.2355
H 5.1396 4.1196 1.1733
H 5.1435 1.0147 10.0422
H 5.2858 6.0288 10.6346
H 5.9552 1.9509 3.9864
O 1.0849 3.7480 8.5548
O 1.1278 1.4819 4.4874
O 1.3360 5.4386 2.7765
O 1.3499 6.3593 6.6115
O 1.3810 3.9465 5.2305
O 1.7976 2.5100 11.7091
O 1.8287 0.0972 0.1329
O 1.8426 1.0179 9.2550
O 2.0508 4.9746 10.9659
O 2.0936 2.7085 2.0763
O 4.2635 5.9368 4.4023
O 4.3064 1.7464 8.4698
O 4.5146 4.2462 10.1807
O 4.5285 3.3254 6.3456
O 4.5595 5.7383 7.7267
O 4.9762 0.7182 1.2481
O 5.0072 3.1311 12.8242
O 5.0212 2.2104 3.7021
O 5.2293 4.7101 1.9912
O 5.2722 0.5197 10.8809
```

Summary:
Symmetry = No. 19
E = -4.749 eV/atom

---

# 5
DFT (GGA-PBE) results for a relaxed AgHO2 crystal.

extended XYZ file:
```
4
Lattice="0.0000 2.6646 2.6646 2.6646 0.0000 2.6646 2.6646 2.6646 0.0000" Properties=species:S:1:pos:R:3 pbc="T T T"
Ag 0.0000 0.0000 0.0000
H 2.6646 2.6646 2.6646
O 1.3323 1.3323 1.3323
O 3.9970 3.9970 3.9970
```

Summary:
Symmetry = No. 225
E = -3.191 eV/atom

---

# 6
DFT (GGA-PBE) results for a relaxed Ag2H2O crystal.

extended XYZ file:
```
5
Lattice="-1.5430 1.5430 5.2013 1.5430 -1.5430 5.2013 1.5430 1.5430 -5.2013" Properties=species:S:1:pos:R:3 pbc="T T T"
Ag 0.0000 0.0000 1.4051
Ag 0.0000 0.0000 8.9975
H 1.5430 0.0000 2.6006
H 0.0000 1.5430 2.6006
O 0.0000 0.0000 5.2013
```

Summary:
Symmetry = No. 139
Distance to the lowest polymorph of the same formula = 48 meV per atom

---

# 7
DFT (GGA-PBE) results for a relaxed AgHO crystal.

extended XYZ file:
```
3
Lattice="2.6132 -2.2890 0.0000 2.6132 2.2890 0.0000 -0.0395 0.0000 2.9717" Properties=species:S:1:pos:R:3 pbc="T T T"
Ag 0.0000 0.0000 0.0000
H 2.6098 0.0000 1.2293
O 2.6060 0.0000 0.2456
```

Summary:
Symmetry = No. 8
Distance to the lowest polymorph of the same formula = 68 meV per atom

---

# 8
DFT (GGA-PBE) results for a relaxed AgH3O crystal.

extended XYZ file:
```
5
Lattice="3.5135 0.0000 0.0000 0.0000 3.5135 0.0000 0.0000 0.0000 3.5135" Properties=species:S:1:pos:R:3 pbc="T T T"
Ag 0.0000 0.0000 0.0000
H 0.0000 0.0000 1.7567
H 0.0000 1.7567 0.0000
H 1.7567 0.0000 0.0000
O 1.7567 1.7567 1.7567
```

Summary:
Symmetry = No. 221
Distance to the lowest polymorph of the same formula = 115 meV per atom